First-principles (GGA-PBE) data for crystalline LiSiNiSn at its relaxed geometry, as listed in OQMD via LeMat-Bulk.

Unit cell a=6.3397 b=6.3397 c=6.3397 alpha=90.00 beta=90.00 gamma=90.00
Space group F-43m (No. 216)
Unique sites:
Li1 0.0000 0.0000 0.0000
Si1 0.2500 0.2500 0.7500
Ni1 0.2500 0.2500 0.2500
Sn1 0.0000 0.0000 0.5000

Properties
- Crystal system: cubic
- Energy above the most stable polymorph in this dataset: 208 meV/atom

First-principles (GGA-PBE) data for crystalline NdGaCu2Ni2 at its relaxed geometry, as listed in OQMD via LeMat-Bulk.

Unit cell a=5.1419 b=8.7341 c=4.0859 alpha=90.00 beta=90.00 gamma=90.00
Space group Cmmm (No. 65)
Unique sites:
Nd1 0.0000 0.0000 0.0000
Ga1 0.0000 0.5000 0.5000
Cu1 0.0000 0.3286 0.0000
Ni1 0.2500 0.2500 0.5000

Properties
- Crystal system: orthorhombic
- Electronic total energy: -4.7432 eV/atom

First-principles (GGA-PBE) data for crystalline LiAlCoHg at its relaxed geometry, as listed in OQMD via LeMat-Bulk.

Unit cell a=6.1250 b=6.1250 c=6.1250 alpha=90.00 beta=90.00 gamma=90.00
Space group F-43m (No. 216)
Unique sites:
Li1 0.0000 0.0000 0.0000
Al1 0.2500 0.2500 0.2500
Co1 0.0000 0.0000 0.5000
Hg1 0.2500 0.2500 0.7500

Properties
- Crystal system: cubic
- Energy above the most stable polymorph in this dataset: 0 meV/atom

First-principles (GGA-PBE) data for crystalline YHoTe2 at its relaxed geometry, as listed in OQMD via LeMat-Bulk.

Unit cell a=4.3465 b=4.3465 c=6.1539 alpha=90.00 beta=90.00 gamma=90.00
Space group P4/mmm (No. 123)
Unique sites:
Y1 0.0000 0.0000 0.0000
Ho1 0.5000 0.5000 0.5000
Te1 0.0000 0.0000 0.5000
Te2 0.5000 0.5000 0.0000

Properties
- Crystal system: tetragonal
- Energy above the most stable polymorph in this dataset: 24 meV/atom

Which formula does entry 1 have? LiSiNiSn